1.
Density functional theory data (PBE) for a geometry-optimized LiTa3Si5 structure.

Summary:
As for the space group: P6/mmm. The value obtained for the total DFT energy (no corrections) is -64.343 eV per cell. The value obtained for the magnetic moment is 0.00 μB per formula unit.

abc: 5.597 5.597 6.398
angles: 90.00 90.00 120.00
Fractional positions:
Li  0.000  0.000  0.000
Ta  0.000  0.500  0.500
Ta  0.500  0.000  0.500
Ta  0.500  0.500  0.500
Si  0.000  0.000  0.500
Si  0.333  0.667  0.179
Si  0.333  0.667  0.821
Si  0.667  0.333  0.179
Si  0.667  0.333  0.821

2.
Density functional theory data (PBE) for a geometry-optimized LiTbSi2 structure.

Summary:
As for the space group: Pnma. The value obtained for the total DFT energy (no corrections) is -78.855 eV per cell. The value obtained for the magnetic moment is 0.00 μB per formula unit.

abc: 6.634 4.111 10.762
angles: 90.00 90.00 90.00
Fractional positions:
Li  0.138  0.250  0.055
Li  0.362  0.750  0.555
Li  0.638  0.250  0.445
Li  0.862  0.750  0.945
Tb  0.148  0.250  0.345
Tb  0.352  0.750  0.845
Tb  0.648  0.250  0.155
Tb  0.852  0.750  0.655
Si  0.029  0.250  0.834
Si  0.176  0.250  0.634
Si  0.324  0.750  0.134
Si  0.471  0.750  0.334
Si  0.529  0.250  0.666
Si  0.676  0.250  0.866
Si  0.824  0.750  0.366
Si  0.971  0.750  0.166

3.
Density functional theory data (PBE) for a geometry-optimized Li4TbSi2 structure.

Summary:
As for the space group: Cmmm. The value obtained for the total DFT energy (no corrections) is -19.685 eV per cell. The value obtained for the magnetic moment is 0.86 μB per formula unit.

abc: 6.364 6.364 4.673
angles: 90.00 90.00 134.76
Fractional positions:
Li  0.000  0.000  0.000
Li  0.218  0.782  0.000
Li  0.500  0.500  0.500
Li  0.782  0.218  0.000
Tb  0.500  0.500  0.000
Si  0.103  0.897  0.500
Si  0.897  0.103  0.500